(1)
## Pr3Sm4HoS8 (PBE)

Data for Pr3Sm4HoS8 after structural relaxation.

As for the formation energy (no corrections): -2.007 eV per atom. The calculation puts the total energy at -308.76 eV for the cell shown.

It has space group R-3m (No. 166, hexagonal axes), with a = 8.0704 Å, b = 8.0704 Å, c = 19.7325 Å, α = 90.00°, β = 90.00° and γ = 120.00°. The asymmetric unit holds Pr at (0.0000, 0.5000, 0.0000), Sm at (0.0000, 0.0000, 0.5000), Sm at (0.0000, 0.5000, 0.5000), Ho at (0.0000, 0.0000, 0.0000), S at (0.0000, 0.0000, 0.2469) and S at (0.0103, 0.5052, 0.7504).



(2)
## PrSm4HoS8 (PBE)

Data for PrSm4HoS8 after structural relaxation.

As for the formation energy (no corrections): -1.914 eV per atom. The calculation puts the total energy at -264.15 eV for the cell shown.

It has space group R3m (No. 160, hexagonal axes), with a = 8.2230 Å, b = 8.2230 Å, c = 20.2121 Å, α = 90.00°, β = 90.00° and γ = 120.00°. The asymmetric unit holds Pr at (0.0000, 0.0000, 0.0000), Sm at (0.0000, 0.0000, 0.3757), Sm at (0.0025, 0.5013, 0.5014), Ho at (0.0000, 0.0000, 0.6265), S at (0.0000, 0.0000, 0.2427), S at (0.0000, 0.0000, 0.7561), S at (0.0175, 0.5088, 0.7554) and S at (0.1708, 0.3415, 0.5810).



(3)
## Pr3Sm3HoS8 (PBE)

Data for Pr3Sm3HoS8 after structural relaxation.

As for the formation energy (no corrections): -2.051 eV per atom. The calculation puts the total energy at -290.59 eV for the cell shown.

It has space group R-3m (No. 166, hexagonal axes), with a = 8.0568 Å, b = 8.0568 Å, c = 19.9135 Å, α = 90.00°, β = 90.00° and γ = 120.00°. The asymmetric unit holds Pr at (0.0000, 0.5000, 0.0000), Sm at (0.0000, 0.5000, 0.5000), Ho at (0.0000, 0.0000, 0.5000), S at (0.0000, 0.0000, 0.2472) and S at (0.0068, 0.5034, 0.2456).



(4)
## Pr4SmHo3S8 (PBE)

Data for Pr4SmHo3S8 after structural relaxation.

As for the formation energy (no corrections): -2.006 eV per atom. The calculation puts the total energy at -308.05 eV for the cell shown.

It has space group R-3m (No. 166, hexagonal axes), with a = 7.9490 Å, b = 7.9490 Å, c = 20.0488 Å, α = 90.00°, β = 90.00° and γ = 120.00°. The asymmetric unit holds Pr at (0.0000, 0.0000, 0.0000), Pr at (0.0000, 0.5000, 0.0000), Sm at (0.0000, 0.0000, 0.5000), Ho at (0.0000, 0.5000, 0.5000), S at (0.0000, 0.0000, 0.2427) and S at (0.0058, 0.5029, 0.7561).



(5)
## SrPr2HoS4 (PBE)

Data for SrPr2HoS4 after structural relaxation.

As for the formation energy (no corrections): -2.003 eV per atom. The calculation puts the total energy at -48.35 eV for the cell shown.

It has space group P2/m (No. 10), with a = 7.059 Å, b = 4.050 Å, c = 7.120 Å, α = 90.00°, β = 108.94° and γ = 90.00°. The asymmetric unit holds Sr at (0.000, 0.000, 0.000), Pr at (0.000, 0.500, 0.500), Pr at (0.500, 0.000, 0.500), Ho at (0.500, 0.500, 0.000), S at (0.260, 0.500, 0.245) and S at (0.265, 0.000, 0.764).



(6)
## TbPr4Ho3S8 (PBE)

Data for TbPr4Ho3S8 after structural relaxation.

As for the formation energy (no corrections): -2.008 eV per atom. The calculation puts the total energy at -307.87 eV for the cell shown.

It has space group R-3m (No. 166, hexagonal axes), with a = 7.9135 Å, b = 7.9135 Å, c = 20.0716 Å, α = 90.00°, β = 90.00° and γ = 120.00°. The asymmetric unit holds Tb at (0.0000, 0.0000, 0.0000), Pr at (0.0000, 0.0000, 0.5000), Pr at (0.0000, 0.5000, 0.5000), Ho at (0.0000, 0.5000, 0.0000), S at (0.0000, 0.0000, 0.2573) and S at (0.0021, 0.5010, 0.2569).



(7)
## TbPr3Ho3S8 (PBE)

Data for TbPr3Ho3S8 after structural relaxation.

As for the formation energy (no corrections): -2.045 eV per atom. The calculation puts the total energy at -289.21 eV for the cell shown.

It has space group R-3m (No. 166, hexagonal axes), with a = 7.9131 Å, b = 7.9131 Å, c = 19.8111 Å, α = 90.00°, β = 90.00° and γ = 120.00°. The asymmetric unit holds Tb at (0.0000, 0.0000, 0.0000), Pr at (0.0000, 0.5000, 0.5000), Ho at (0.0000, 0.5000, 0.0000), S at (0.0000, 0.0000, 0.2566) and S at (0.0052, 0.5026, 0.2553).



(8)
## TbPr2HoS4 (PBE)

Data for TbPr2HoS4 after structural relaxation.

As for the formation energy (no corrections): -2.012 eV per atom. The calculation puts the total energy at -51.37 eV for the cell shown.

It has space group P2/m (No. 10), with a = 6.877 Å, b = 3.943 Å, c = 7.083 Å, α = 90.00°, β = 108.67° and γ = 90.00°. The asymmetric unit holds Tb at (0.000, 0.000, 0.000), Pr at (0.000, 0.500, 0.500), Pr at (0.500, 0.000, 0.500), Ho at (0.500, 0.500, 0.000), S at (0.246, 0.500, 0.231) and S at (0.259, 0.000, 0.770).



(9)
## Tb2PrHoS6 (PBE)

Data for Tb2PrHoS6 after structural relaxation.

As for the formation energy (no corrections): -2.042 eV per atom. The calculation puts the total energy at -191.42 eV for the cell shown.

It has space group R3 (No. 146, hexagonal axes), with a = 7.0109 Å, b = 7.0109 Å, c = 18.6294 Å, α = 90.00°, β = 90.00° and γ = 120.00°. The asymmetric unit holds Tb at (0.0000, 0.0000, 0.0000), Tb at (0.0000, 0.0000, 0.4958), Pr at (0.0000, 0.0000, 0.2052), Ho at (0.0000, 0.0000, 0.6983), S at (0.0188, 0.7171, 0.5980) and S at (0.0293, 0.3615, 0.7637).



(10)
## TbPrHo2S4 (PBE)

Data for TbPrHo2S4 after structural relaxation.

As for the formation energy (no corrections): -1.990 eV per atom. The calculation puts the total energy at -50.99 eV for the cell shown.

It has space group P2/m (No. 10), with a = 6.839 Å, b = 3.901 Å, c = 6.916 Å, α = 90.00°, β = 108.81° and γ = 90.00°. The asymmetric unit holds Tb at (0.000, 0.000, 0.000), Pr at (0.500, 0.500, 0.000), Ho at (0.000, 0.500, 0.500), Ho at (0.500, 0.000, 0.500), S at (0.238, 0.000, 0.735) and S at (0.247, 0.500, 0.260).



(11)
## Tb4PrHoS8 (PBE)

Data for Tb4PrHoS8 after structural relaxation.

As for the formation energy (no corrections): -1.928 eV per atom. The calculation puts the total energy at -263.68 eV for the cell shown.

It has space group R3m (No. 160, hexagonal axes), with a = 8.1351 Å, b = 8.1351 Å, c = 19.8681 Å, α = 90.00°, β = 90.00° and γ = 120.00°. The asymmetric unit holds Tb at (0.0000, 0.0000, 0.0000), Tb at (0.0021, 0.5011, 0.8757), Pr at (0.0000, 0.0000, 0.7509), Ho at (0.0000, 0.0000, 0.3749), S at (0.0000, 0.0000, 0.1321), S at (0.0000, 0.0000, 0.6144), S at (0.0321, 0.5160, 0.1284) and S at (0.1771, 0.3543, 0.9574).



(12)
## TbPr2Ho3S6 (PBE)

Data for TbPr2Ho3S6 after structural relaxation.

As for the formation energy (no corrections): -1.996 eV per atom. The calculation puts the total energy at -153.28 eV for the cell shown.

It has space group C2/m (No. 12), with a = 17.337 Å, b = 3.934 Å, c = 8.014 Å, α = 90.00°, β = 104.26° and γ = 90.00°. The asymmetric unit holds Tb at (0.000, 0.000, 0.000), Pr at (0.167, 0.500, 0.335), Ho at (0.000, 0.000, 0.500), Ho at (0.169, 0.500, 0.833), S at (0.005, 0.500, 0.750), S at (0.162, 0.000, 0.595) and S at (0.167, 0.000, 0.069).



One value per record, in order, for magnetic moment: 0.0 0.0 0.0 0.0 0.0 0.0 0.0 0.0 0.0 0.0 0.0 0.0 μB per formula unit.